Entry 1:
Material: LaTi2AsP
Method: DFT, PBE
State: relaxed

a = 4.732 Å, b = 5.776 Å, c = 4.732 Å
α = 90.00°, β = 90.00°, γ = 90.00°
Site moments in Bohr magnetons follow the coordinates.
Fractional positions:
P: 0.500 0.500 0.500  -0.07
As: 0.000 0.000 0.000  -0.03
Ti: 0.000 0.000 0.500  1.51
Ti: 0.500 0.000 0.000  1.26
La: 0.000 0.500 0.000  0.18

Summary:
DOS at the Fermi energy: 6.2 states/eV/cell
Magnetic moment: 4.1 Bohr magnetons per cell
Space-group type: P4/mmm
ΔE_f: -25 meV per atom


Entry 2:
Material: Sc3MoAs
Method: DFT, PBE
State: relaxed

a = 4.979 Å, b = 4.979 Å, c = 4.979 Å
α = 90.00°, β = 90.00°, γ = 90.00°
Site moments in Bohr magnetons follow the coordinates.
Fractional positions:
Sc: 0.000 0.500 0.000  -0.21
Sc: 0.000 0.000 0.500  -0.32
Sc: 0.500 0.000 0.000  -0.22
Mo: 0.500 0.500 0.500  2.43
As: 0.000 0.000 0.000  0.03

Summary:
DOS at the Fermi energy: 8.0 states/eV/cell
Magnetic moment: 1.6 Bohr magnetons per cell
Space-group type: Pm-3m
ΔE_f: 288 meV per atom


Entry 3:
Material: TmGa6
Method: DFT, PBE
State: relaxed

a = 8.397 Å, b = 8.397 Å, c = 8.063 Å
α = 90.00°, β = 90.00°, γ = 90.00°
Fractional positions:
Tm: 0.500 0.000 0.000
Tm: 0.000 0.500 0.000
Ga: 0.784 0.000 0.185
Ga: 0.216 0.000 0.185
Ga: 0.000 0.784 0.185
Ga: 0.000 0.216 0.815
Ga: 0.216 0.000 0.815
Ga: 0.000 0.216 0.185
Ga: 0.000 0.784 0.815
Ga: 0.784 0.000 0.815
Ga: 0.000 0.500 0.348
Ga: 0.500 0.000 0.348
Ga: 0.500 0.000 0.652
Ga: 0.000 0.500 0.652

Summary:
DOS at the Fermi energy: 13.9 states/eV/cell
Magnetic moment: 0.0 Bohr magnetons per cell
Space-group type: P4/mmm
ΔE_f: 386 meV per atom


Entry 4:
Material: Rb3Na3Hg
Method: DFT, PBE
State: relaxed

a = 4.954 Å, b = 7.907 Å, c = 20.339 Å
α = 83.02°, β = 83.01°, γ = 71.75°
Fractional positions:
Rb: 0.506 0.378 0.609
Rb: 0.494 0.622 0.391
Rb: 0.252 0.246 0.249
Rb: 0.748 0.754 0.751
Rb: 0.374 0.334 0.918
Rb: 0.626 0.666 0.082
Na: 0.807 0.850 0.536
Na: 0.193 0.150 0.464
Na: 0.095 0.889 0.920
Na: 0.905 0.111 0.080
Na: 0.969 0.824 0.239
Na: 0.031 0.176 0.761
Hg: 0.800 0.025 0.376
Hg: 0.200 0.975 0.624

Summary:
DOS at the Fermi energy: 7.4 states/eV/cell
Magnetic moment: 0.0 Bohr magnetons per cell
Space-group type: C2/m
ΔE_f: -52 meV per atom


Entry 5:
Material: Tb2Dy4ThSc
Method: DFT, PBE
State: relaxed

a = 5.859 Å, b = 9.304 Å, c = 5.851 Å
α = 51.04°, β = 90.00°, γ = 90.00°
Fractional positions:
Tb: 0.000 0.000 0.000
Tb: 0.500 0.000 0.500
Dy: 0.000 0.745 0.755
Dy: 0.000 0.255 0.245
Dy: 0.500 0.745 0.255
Dy: 0.500 0.255 0.745
Th: 0.000 0.500 0.500
Sc: 0.500 0.500 0.000

Summary:
DOS at the Fermi energy: 16.8 states/eV/cell
Magnetic moment: 0.0 Bohr magnetons per cell
Space-group type: P4/mmm
ΔE_f: 146 meV per atom


Entry 6:
Material: Tm2SiTe
Method: DFT, PBE
State: relaxed

a = 4.160 Å, b = 4.160 Å, c = 7.511 Å
α = 73.93°, β = 73.93°, γ = 60.00°
Fractional positions:
Tm: 0.071 0.071 0.788
Tm: 0.262 0.262 0.213
Si: 0.668 0.668 0.996
Te: 0.499 0.499 0.504

Summary:
DOS at the Fermi energy: 0.7 states/eV/cell
Magnetic moment: 0.0 Bohr magnetons per cell
Space-group type: R3m
Energy relative to the elements, uncorrected: -0.982 eV/atom


Entry 7:
Material: ZnFeOs
Method: DFT, PBE
State: relaxed

a = 5.718 Å, b = 5.718 Å, c = 5.718 Å
α = 152.71°, β = 152.71°, γ = 38.98°
Site moments in Bohr magnetons follow the coordinates.
Fractional positions:
Fe: 0.992 0.992 0.000  0.74
Os: 0.347 0.347 0.000  -0.04
Zn: 0.661 0.661 0.000  -0.01

Summary:
DOS at the Fermi energy: 2.7 states/eV/cell
Magnetic moment: 0.7 Bohr magnetons per cell
Space-group type: I4mm
ΔE_f: 116 meV per atom


Entry 8:
Material: SiPt4Se
Method: DFT, PBE
State: relaxed

a = 5.325 Å, b = 5.325 Å, c = 5.325 Å
α = 60.00°, β = 60.00°, γ = 60.00°
Fractional positions:
Si: 0.000 0.000 0.000
Pt: 0.876 0.375 0.375
Pt: 0.375 0.375 0.876
Pt: 0.375 0.876 0.375
Pt: 0.375 0.375 0.375
Se: 0.750 0.750 0.750

Summary:
DOS at the Fermi energy: 7.3 states/eV/cell
Magnetic moment: 0.0 Bohr magnetons per cell
Space-group type: F-43m
Energy relative to the elements, uncorrected: 0.412 eV/atom


Entry 9:
Material: Mg12Tl2Cd5
Method: DFT, PBE
State: relaxed

a = 5.360 Å, b = 9.853 Å, c = 9.853 Å
α = 61.79°, β = 76.51°, γ = 76.51°
Fractional positions:
Mg: 0.032 0.897 0.897
Mg: 0.207 0.543 0.050
Mg: 0.207 0.050 0.543
Mg: 0.613 0.647 0.153
Mg: 0.613 0.153 0.647
Mg: 0.249 0.408 0.408
Mg: 0.751 0.592 0.592
Mg: 0.387 0.353 0.847
Mg: 0.387 0.847 0.353
Mg: 0.793 0.457 0.950
Mg: 0.793 0.950 0.457
Mg: 0.968 0.103 0.103
Tl: 0.000 0.256 0.744
Tl: 0.000 0.744 0.256
Cd: 0.420 0.201 0.201
Cd: 0.837 0.304 0.304
Cd: 0.500 0.000 0.000
Cd: 0.163 0.696 0.696
Cd: 0.580 0.799 0.799

Summary:
DOS at the Fermi energy: 5.7 states/eV/cell
Magnetic moment: 0.0 Bohr magnetons per cell
Space-group type: C2/m
ΔE_f: -29 meV per atom


Entry 10:
Material: Nd2Tm3In4
Method: DFT, PBE
State: relaxed

a = 6.976 Å, b = 8.902 Å, c = 9.187 Å
α = 90.00°, β = 112.31°, γ = 90.00°
Fractional positions:
Nd: 0.107 0.581 0.213
Nd: 0.893 0.419 0.787
Nd: 0.393 0.081 0.787
Nd: 0.607 0.919 0.213
Tm: 0.000 0.000 0.000
Tm: 0.500 0.500 0.000
Tm: 0.528 0.750 0.555
Tm: 0.972 0.250 0.445
Tm: 0.472 0.250 0.445
Tm: 0.028 0.750 0.555
In: 0.706 0.750 0.913
In: 0.794 0.250 0.087
In: 0.294 0.250 0.087
In: 0.206 0.750 0.913
In: 0.179 0.960 0.358
In: 0.821 0.040 0.642
In: 0.321 0.460 0.642
In: 0.679 0.540 0.358

Summary:
DOS at the Fermi energy: 17.4 states/eV/cell
Magnetic moment: 0.0 Bohr magnetons per cell
Space-group type: Cmce
ΔE_f: -302 meV per atom


Entry 11:
Material: Ni2HgPt2
Method: DFT, PBE
State: relaxed

a = 3.584 Å, b = 3.584 Å, c = 6.787 Å
α = 74.69°, β = 74.69°, γ = 90.00°
Site moments in Bohr magnetons follow the coordinates.
Fractional positions:
Ni: 0.750 0.250 0.500  0.73
Ni: 0.250 0.750 0.500  0.73
Hg: 0.000 0.000 0.000  0.00
Pt: 0.392 0.392 0.216  0.26
Pt: 0.608 0.608 0.784  0.26

Summary:
DOS at the Fermi energy: 6.3 states/eV/cell
Magnetic moment: 1.9 Bohr magnetons per cell
Space-group type: I4/mmm
ΔE_f: 203 meV per atom


Entry 12:
Material: Ac2GdEr
Method: DFT, PBE
State: relaxed

a = 3.856 Å, b = 3.856 Å, c = 10.160 Å
α = 90.00°, β = 90.00°, γ = 90.00°
Site moments in Bohr magnetons follow the coordinates.
Fractional positions:
Ac: 0.000 0.000 0.754  0.00
Ac: 0.000 0.000 0.246  0.00
Gd: 0.500 0.500 0.500  7.23
Er: 0.500 0.500 0.000  -0.10

Summary:
DOS at the Fermi energy: 5.6 states/eV/cell
Magnetic moment: 7.4 Bohr magnetons per cell
Space-group type: P4/mmm
ΔE_f: 45 meV per atom


Entry 13:
Material: GdZr2Tl
Method: DFT, PBE
State: relaxed

a = 3.223 Å, b = 3.223 Å, c = 11.624 Å
α = 82.03°, β = 82.03°, γ = 60.00°
Site moments in Bohr magnetons follow the coordinates.
Fractional positions:
Tl: 0.500 0.500 0.500  0.00
Gd: 0.000 0.000 0.000  7.42
Zr: 0.091 0.091 0.726  0.09
Zr: 0.909 0.909 0.274  0.09

Summary:
DOS at the Fermi energy: 5.4 states/eV/cell
Magnetic moment: 8.0 Bohr magnetons per cell
Space-group type: R-3m
ΔE_f: 276 meV per atom


Entry 14:
Material: Tl
Method: DFT, PBE
State: relaxed

a = 3.531 Å, b = 3.531 Å, c = 11.386 Å
α = 90.00°, β = 90.00°, γ = 120.00°
Fractional positions:
Tl: 0.000 0.000 0.000
Tl: 0.333 0.667 0.250
Tl: 0.000 0.000 0.500
Tl: 0.667 0.333 0.750

Summary:
DOS at the Fermi energy: 1.9 states/eV/cell
Magnetic moment: 0.0 Bohr magnetons per cell
Space-group type: P6_3/mmc
ΔE_f: 11 meV per atom


Entry 15:
Material: Th3CdC
Method: DFT, PBE
State: relaxed

a = 5.091 Å, b = 5.091 Å, c = 5.091 Å
α = 90.00°, β = 90.00°, γ = 90.00°
Fractional positions:
C: 0.000 0.000 0.000
Th: 0.000 0.500 0.000
Th: 0.000 0.000 0.500
Th: 0.500 0.000 0.000
Cd: 0.500 0.500 0.500

Summary:
DOS at the Fermi energy: 2.0 states/eV/cell
Magnetic moment: 0.0 Bohr magnetons per cell
Space-group type: Pm-3m
ΔE_f: -206 meV per atom


Entry 16:
Material: Tb4S3O
Method: DFT, PBE
State: relaxed

a = 5.420 Å, b = 5.420 Å, c = 5.420 Å
α = 90.00°, β = 90.00°, γ = 90.00°
Fractional positions:
Tb: 0.500 0.000 0.000
Tb: 0.000 0.500 0.000
Tb: 0.000 0.000 0.500
Tb: 0.500 0.500 0.500
S: 0.000 0.500 0.500
S: 0.500 0.000 0.500
S: 0.500 0.500 0.000
O: 0.000 0.000 0.000

Summary:
DOS at the Fermi energy: 4.8 states/eV/cell
Magnetic moment: 0.0 Bohr magnetons per cell
Space-group type: Pm-3m
Energy relative to the elements, uncorrected: -2.048 eV/atom


Entry 17:
Material: MgTi2Hg
Method: DFT, PBE
State: relaxed

a = 4.378 Å, b = 4.113 Å, c = 4.113 Å
α = 90.00°, β = 90.00°, γ = 90.00°
Site moments in Bohr magnetons follow the coordinates.
Fractional positions:
Mg: 0.500 0.500 0.500  0.00
Hg: 0.500 0.000 0.000  0.01
Ti: 0.000 0.000 0.500  0.72
Ti: 0.000 0.500 0.000  0.72

Summary:
DOS at the Fermi energy: 3.7 states/eV/cell
Magnetic moment: 1.8 Bohr magnetons per cell
Space-group type: P4/mmm
ΔE_f: -2 meV per atom


Entry 18:
Material: Pu2BiC
Method: DFT, PBE
State: relaxed

a = 4.050 Å, b = 4.050 Å, c = 6.180 Å
α = 70.87°, β = 70.87°, γ = 60.00°
Site moments in Bohr magnetons follow the coordinates.
Fractional positions:
C: 0.000 0.000 0.000  -0.02
Bi: 0.500 0.500 0.500  -0.04
Pu: 0.311 0.311 0.067  0.60
Pu: 0.689 0.689 0.933  0.60

Summary:
DOS at the Fermi energy: 6.7 states/eV/cell
Magnetic moment: 1.1 Bohr magnetons per cell
Space-group type: R-3m
ΔE_f: 290 meV per atom


Entry 19:
Material: RbSi2Os2
Method: DFT, PBE
State: relaxed

a = 7.742 Å, b = 7.742 Å, c = 2.806 Å
α = 90.00°, β = 90.00°, γ = 90.00°
Fractional positions:
Si: 0.368 0.868 0.000
Si: 0.868 0.632 0.000
Si: 0.632 0.132 0.000
Si: 0.132 0.368 0.000
Os: 0.140 0.640 0.500
Os: 0.640 0.860 0.500
Os: 0.860 0.360 0.500
Os: 0.360 0.140 0.500
Rb: 0.000 0.000 0.000
Rb: 0.500 0.500 0.000

Summary:
DOS at the Fermi energy: 4.4 states/eV/cell
Magnetic moment: 0.0 Bohr magnetons per cell
Space-group type: P4/mbm
Energy relative to the elements, uncorrected: 0.409 eV/atom


Entry 20:
Material: NdFe4Ir
Method: DFT, PBE
State: relaxed

a = 4.117 Å, b = 6.190 Å, c = 7.799 Å
α = 90.00°, β = 105.28°, γ = 90.00°
Site moments in Bohr magnetons follow the coordinates.
Fractional positions:
Ir: 0.274 0.250 0.547  0.34
Ir: 0.726 0.750 0.453  0.34
Nd: 0.375 0.750 0.750  -0.20
Nd: 0.625 0.250 0.250  -0.20
Fe: 0.833 0.067 0.665  2.19
Fe: 0.167 0.933 0.335  2.19
Fe: 0.167 0.567 0.335  2.19
Fe: 0.833 0.433 0.665  2.19
Fe: 0.000 0.500 0.000  2.64
Fe: 0.000 0.000 0.000  2.65
Fe: 0.438 0.250 0.876  2.59
Fe: 0.562 0.750 0.124  2.59

Summary:
DOS at the Fermi energy: 16.0 states/eV/cell
Magnetic moment: 19.2 Bohr magnetons per cell
Space-group type: P2_1/m
ΔE_f: 189 meV per atom


no.,total DFT energy (no corrections) (eV per cell)
1,-30.9
2,-33.0
3,-39.9
4,-15.0
5,-40.3
6,-21.4
7,-20.6
8,-30.6
9,-29.0
10,-73.2
11,-22.9
12,-26.7
13,-32.4
14,-9.4
15,-33.4
16,-52.2
17,-17.7
18,-40.6
19,-64.5
20,-92.7